No. 1
The following is a DFT calculation (PBE-GGA) of AgHSO4 after structural relaxation.

Symmetry ... I-4 (82)

Geometry as POSCAR:
```
AgHSO4
1.0
-2.408 2.408 3.545
2.408 -2.408 3.545
2.408 2.408 -3.545
Ag H S O
1 1 1 4
direct
0.000 0.000 0.000
0.500 0.500 0.000
0.250 0.750 0.500
0.261 0.634 0.157
0.366 0.523 0.627
0.477 0.104 0.843
0.896 0.739 0.373
```

---

No. 2
The following is a DFT calculation (PBE-GGA) of Ag2H4S3O12 after structural relaxation.

Symmetry ... Pna2_1 (33)

Geometry as POSCAR:
```
Ag2H4S3O12
1.0
10.382 0.000 0.000
0.000 7.249 0.000
0.000 0.000 14.309
Ag H S O
8 16 12 48
direct
0.130 0.249 0.000
0.155 0.113 0.357
0.345 0.613 0.857
0.370 0.749 0.500
0.630 0.251 0.000
0.655 0.387 0.357
0.845 0.887 0.857
0.870 0.751 0.500
0.044 0.434 0.589
0.052 0.435 0.801
0.178 0.775 0.160
0.244 0.939 0.687
0.256 0.439 0.187
0.322 0.275 0.660
0.448 0.935 0.301
0.456 0.934 0.089
0.544 0.066 0.589
0.552 0.065 0.801
0.678 0.725 0.160
0.744 0.561 0.687
0.756 0.061 0.187
0.822 0.225 0.660
0.948 0.565 0.301
0.956 0.566 0.089
0.078 0.778 0.029
0.093 0.729 0.689
0.149 0.622 0.335
0.351 0.122 0.835
0.407 0.229 0.189
0.422 0.278 0.529
0.578 0.722 0.029
0.593 0.771 0.689
0.649 0.878 0.335
0.851 0.378 0.835
0.907 0.271 0.189
0.922 0.222 0.529
0.000 0.333 0.833
0.000 0.667 0.333
0.011 0.866 0.732
0.036 0.640 0.605
0.040 0.932 0.970
0.045 0.292 0.579
0.143 0.586 0.753
0.144 0.625 0.985
0.163 0.866 0.107
0.170 0.447 0.381
0.192 0.617 0.235
0.202 0.782 0.385
0.215 0.831 0.647
0.285 0.331 0.147
0.298 0.282 0.885
0.308 0.117 0.735
0.330 0.947 0.881
0.337 0.366 0.607
0.356 0.125 0.485
0.357 0.086 0.253
0.455 0.792 0.079
0.460 0.432 0.470
0.464 0.140 0.105
0.489 0.366 0.232
0.500 0.167 0.833
0.500 0.833 0.333
0.511 0.634 0.732
0.536 0.860 0.605
0.540 0.568 0.970
0.545 0.208 0.579
0.643 0.914 0.753
0.644 0.875 0.985
0.663 0.634 0.107
0.670 0.053 0.381
0.692 0.883 0.235
0.702 0.718 0.385
0.715 0.669 0.647
0.785 0.169 0.147
0.798 0.218 0.885
0.808 0.383 0.735
0.830 0.553 0.881
0.837 0.134 0.607
0.856 0.375 0.485
0.857 0.414 0.253
0.955 0.708 0.079
0.960 0.068 0.470
0.964 0.360 0.105
0.989 0.134 0.232
```

---

No. 3
The following is a DFT calculation (PBE-GGA) of Ag2HSeO4 after structural relaxation.

Symmetry ... Imma (74)

Geometry as POSCAR:
```
Ag2HSeO4
1.0
-3.427 3.580 3.940
3.427 -3.580 3.940
3.427 3.580 -3.940
Ag H Se O
4 2 2 8
direct
0.000 0.000 0.000
0.500 0.000 0.000
0.500 0.000 0.500
0.500 0.500 0.500
0.000 0.500 0.500
0.500 0.500 0.000
0.000 0.000 0.500
0.000 0.500 0.000
0.113 0.660 0.453
0.235 0.171 0.436
0.235 0.799 0.064
0.293 0.340 0.953
0.707 0.660 0.047
0.765 0.201 0.936
0.765 0.829 0.564
0.887 0.340 0.547
```

---

No. 4
The following is a DFT calculation (PBE-GGA) of SrAg2HO after structural relaxation.

Symmetry ... P4/mmm (123)

Geometry as POSCAR:
```
SrAg2HO
1.0
4.464 0.000 0.000
0.000 4.464 0.000
0.000 0.000 5.116
Sr Ag H O
1 2 1 1
direct
0.000 0.000 0.000
0.000 0.500 0.500
0.500 0.000 0.500
0.500 0.500 0.000
0.000 0.000 0.500
```

---

No. 5
The following is a DFT calculation (PBE-GGA) of TcAg2HO4 after structural relaxation.

Symmetry ... C2/c (15)

Geometry as POSCAR:
```
TcAg2HO4
1.0
5.257 -3.595 0.000
5.257 3.595 0.000
-1.665 0.000 5.550
Tc Ag H O
2 4 2 8
direct
0.000 0.000 0.000
0.000 0.000 0.500
0.000 0.500 0.000
0.500 0.000 0.500
0.500 0.500 0.000
0.500 0.500 0.500
0.000 0.500 0.500
0.500 0.000 0.000
0.050 0.302 0.569
0.164 0.696 0.929
0.302 0.050 0.069
0.304 0.836 0.571
0.696 0.164 0.429
0.698 0.950 0.931
0.836 0.304 0.071
0.950 0.698 0.431
```

---

No. 6
The following is a DFT calculation (PBE-GGA) of Ag2TeH4O6 after structural relaxation.

Symmetry ... Fdd2 (43)

Geometry as POSCAR:
```
Ag2TeH4O6
1.0
0.000 9.381 4.601
3.251 0.000 4.601
3.251 9.381 0.000
Ag Te H O
4 2 8 12
direct
0.398 0.602 0.446
0.602 0.398 0.554
0.696 0.804 0.648
0.804 0.696 0.852
0.224 0.224 0.276
0.974 0.974 0.026
0.170 0.174 0.068
0.174 0.170 0.588
0.182 0.662 0.080
0.230 0.760 0.287
0.527 0.963 0.490
0.662 0.182 0.076
0.760 0.230 0.723
0.963 0.527 0.020
0.123 0.316 0.547
0.142 0.588 0.274
0.236 0.703 0.934
0.253 0.976 0.662
0.284 0.853 0.306
0.316 0.123 0.014
0.588 0.142 0.997
0.692 0.944 0.397
0.703 0.236 0.127
0.853 0.284 0.558
0.944 0.692 0.966
0.976 0.253 0.108
```

---

Computed E (eV per atom) in order:
-4.98 -5.39 -4.13 -3.40 -5.32 -4.78